[1]
Compound: PuPa2Pt4
Source: Alexandria via LeMat-Bulk
Functional: PBE-GGA
Structure: relaxed

a b c (Å): 4.1482 8.6891 8.7376
angles (deg): 90.00 90.00 103.81
Closest atoms and distances in Å follow each position.
Fractional positions:
Pu (0.6614, 0.3227, 0.7500)  10 Pt 3.15-3.49, 4 Pa 3.38
Pu (0.3386, 0.6773, 0.2500)  10 Pt 3.15-3.49, 4 Pa 3.38
Pa (0.1154, 0.2307, 0.4580)  7 Pt 2.80-3.03
Pa (0.8846, 0.7693, 0.9580)  7 Pt 2.80-3.03
Pa (0.1154, 0.2307, 0.0420)  7 Pt 2.80-3.03
Pa (0.8846, 0.7693, 0.5420)  7 Pt 2.80-3.03
Pt (0.7228, 0.4457, 0.0975)  3 Pt 2.66-2.84, 2 Pa 2.80
Pt (0.7228, 0.4457, 0.4025)  3 Pt 2.66-2.84, 2 Pa 2.80
Pt (0.2772, 0.5543, 0.9025)  3 Pt 2.66-2.84, 2 Pa 2.80
Pt (0.2772, 0.5543, 0.5975)  3 Pt 2.66-2.84, 2 Pa 2.80
Pt (0.0191, 0.0382, 0.7500)  4 Pa 2.91-3.03, 4 Pt 3.03, 2 Pu 3.17
Pt (0.9809, 0.9618, 0.2500)  4 Pa 2.91-3.03, 4 Pt 3.03, 2 Pu 3.17
Pt (0.5000, 0.0000, 0.0000)  4 Pa 2.87, 4 Pt 3.03
Pt (0.5000, 0.0000, 0.5000)  4 Pa 2.87, 4 Pt 3.03

Output
DFT formation energy = -0.7458 eV/atom
DOS(E_F) = 23.8 states/eV/cell

[2]
Compound: Hf2PdSe
Source: Alexandria via LeMat-Bulk
Functional: PBE-GGA
Structure: relaxed

a b c (Å): 3.2162 3.2162 9.3687
angles (deg): 80.12 80.12 60.00
Closest atoms and distances in Å follow each position.
Fractional positions:
Hf (0.0924, 0.0924, 0.7228)  1 Pd 2.55, 3 Se 2.76
Hf (0.9076, 0.9076, 0.2772)  1 Pd 2.55, 3 Se 2.76
Se (0.5000, 0.5000, 0.5000)  6 Hf 2.76
Pd (0.0000, 0.0000, 0.0000)  2 Hf 2.55

Output
energy relative to the elements, uncorrected = -188 meV/atom
DOS(E_F) = 2.5 states/eV/cell

[3]
Compound: GaSeN2O
Source: Alexandria via LeMat-Bulk
Functional: PBE-GGA
Structure: relaxed

a b c (Å): 3.8596 3.8596 3.7512
angles (deg): 90.00 90.00 90.00
Closest atoms and distances in Å follow each position.
Fractional positions:
O (0.0000, 0.0000, 0.5000)  2 Se 1.88
Ga (0.5000, 0.5000, 0.5000)  8 N 2.69, 4 O 2.73
Se (0.0000, 0.0000, 0.0000)  2 O 1.88, 4 N 1.93
N (0.0000, 0.5000, 0.0000)  2 Se 1.93
N (0.5000, 0.0000, 0.0000)  2 Se 1.93

Output
energy relative to the elements, uncorrected = 1094 meV/atom
DOS(E_F) = 1.0 states/eV/cell

[4]
Compound: TbEr2Ge2Pt7
Source: Alexandria via LeMat-Bulk
Functional: PBE-GGA
Structure: relaxed

a b c (Å): 4.0467 4.0467 14.0673
angles (deg): 83.09 83.09 89.40
Closest atoms and distances in Å follow each position.
Fractional positions:
Tb (0.0000, 0.0000, 0.0000)  12 Pt 2.85-2.98
Er (0.8676, 0.8676, 0.3588)  5 Pt 2.96-3.16, 4 Ge 3.09-3.27
Er (0.1324, 0.1324, 0.6412)  5 Pt 2.96-3.16, 4 Ge 3.09-3.27
Ge (0.6088, 0.6088, 0.7392)  5 Pt 2.42-2.48
Ge (0.3912, 0.3912, 0.2608)  5 Pt 2.42-2.48
Pt (0.5000, 0.5000, 0.0000)  4 Tb 2.85-2.88, 8 Pt 2.97-2.98
Pt (0.3550, 0.3550, 0.4345)  1 Ge 2.42, 1 Pt 2.69
Pt (0.6450, 0.6450, 0.5655)  1 Ge 2.42, 1 Pt 2.69
Pt (0.9338, 0.4340, 0.1572)  2 Ge 2.48
Pt (0.4340, 0.9338, 0.1572)  2 Ge 2.48
Pt (0.5660, 0.0662, 0.8428)  2 Ge 2.48
Pt (0.0662, 0.5660, 0.8428)  2 Ge 2.48

Output
DFT formation energy = -0.9772 eV/atom
DOS(E_F) = 4.5 states/eV/cell